# 1
# U3Si6Pd20 | the Alexandria database | PBE-GGA | relaxed
data_U3Si6Pd20
_chemical_formula_sum 'U12 Si24 Pd80'
_symmetry_space_group_name_H-M 'F m -3 m'
_symmetry_Int_Tables_number 225
_symmetry_space_group_name_Hall '-F 4 2 3'
_cell_length_a 12.3409
_cell_length_b 12.3409
_cell_length_c 12.3409
_cell_angle_alpha 90.00
_cell_angle_beta 90.00
_cell_angle_gamma 90.00
loop_
_atom_site_label
_atom_site_fract_x
_atom_site_fract_y
_atom_site_fract_z
U1 0.0000 0.0000 0.0000
U2 0.2500 0.2500 0.2500
Si1 0.0000 0.0000 0.2679
Pd1 0.0000 0.1727 0.1727
Pd2 0.1170 0.1170 0.3830
# ΔE_f (raw) (meV per atom): -616.6
# DOS(E_F) (states/eV/cell): 125.35
# Total DFT energy (no corrections) (eV for the cell shown): -752.56



# 2
# U2Si3Pd | the Alexandria database | PBE-GGA | relaxed
data_U2Si3Pd
_chemical_formula_sum 'U4 Si6 Pd2'
_symmetry_space_group_name_H-M 'C 1 m 1'
_symmetry_Int_Tables_number 8
_symmetry_space_group_name_Hall 'C -2y'
_cell_length_a 10.1964
_cell_length_b 4.1999
_cell_length_c 6.6681
_cell_angle_alpha 90.00
_cell_angle_beta 130.63
_cell_angle_gamma 90.00
loop_
_atom_site_label
_atom_site_fract_x
_atom_site_fract_y
_atom_site_fract_z
U1 0.0000 0.0000 0.0000
U2 0.1111 0.0000 0.6227
Si1 0.2044 0.5000 0.4251
Si2 0.2154 0.5000 0.0287
Si3 0.3872 0.0000 0.6021
Pd1 0.3857 0.0000 0.2184
# ΔE_f (raw) (meV per atom): -377.2
# DOS(E_F) (states/eV/cell): 20.44
# Total DFT energy (no corrections) (eV for the cell shown): -92.60
# ΔE to the lowest computed polymorph (meV/atom): 33



# 3
# USi2Pd2 | the Alexandria database | PBE-GGA | relaxed
data_USi2Pd2
_chemical_formula_sum 'U4 Si8 Pd8'
_symmetry_space_group_name_H-M 'C m c 21'
_symmetry_Int_Tables_number 36
_symmetry_space_group_name_Hall 'C 2c -2'
_cell_length_a 3.9529
_cell_length_b 11.3878
_cell_length_c 7.6224
_cell_angle_alpha 90.00
_cell_angle_beta 90.00
_cell_angle_gamma 90.00
loop_
_atom_site_label
_atom_site_fract_x
_atom_site_fract_y
_atom_site_fract_z
U1 0.0000 0.0890 0.0000
Si1 0.0000 0.2477 0.3136
Si2 0.0000 0.4422 0.1901
Pd1 0.0000 0.1872 0.6193
Pd2 0.0000 0.3795 0.8628
# ΔE_f (raw) (meV per atom): -588.8
# DOS(E_F) (states/eV/cell): 31.25
# Total DFT energy (no corrections) (eV for the cell shown): -141.86
# ΔE to the lowest computed polymorph (meV/atom): 33



# 4
# USiPd | the Alexandria database | PBE-GGA | relaxed
data_USiPd
_chemical_formula_sum 'U4 Si4 Pd4'
_symmetry_space_group_name_H-M 'P n m a'
_symmetry_Int_Tables_number 62
_symmetry_space_group_name_Hall '-P 2ac 2n'
_cell_length_a 7.5365
_cell_length_b 3.7419
_cell_length_c 7.4139
_cell_angle_alpha 90.00
_cell_angle_beta 90.00
_cell_angle_gamma 90.00
loop_
_atom_site_label
_atom_site_fract_x
_atom_site_fract_y
_atom_site_fract_z
U1 0.0083 0.2500 0.1214
Si1 0.2054 0.7500 0.3623
Pd1 0.1294 0.2500 0.5684
# ΔE_f (raw) (meV per atom): -584.3
# DOS(E_F) (states/eV/cell): 15.42
# Total DFT energy (no corrections) (eV for the cell shown): -94.63



# 5
# VSi2Pd | the Alexandria database | PBE-GGA | relaxed
data_VSi2Pd
_chemical_formula_sum 'V1 Si2 Pd1'
_symmetry_space_group_name_H-M 'P 4/m m m'
_symmetry_Int_Tables_number 123
_symmetry_space_group_name_Hall '-P 4 2'
_cell_length_a 4.0898
_cell_length_b 4.0898
_cell_length_c 3.2342
_cell_angle_alpha 90.00
_cell_angle_beta 90.00
_cell_angle_gamma 90.00
loop_
_atom_site_label
_atom_site_fract_x
_atom_site_fract_y
_atom_site_fract_z
V1 0.0000 0.0000 0.0000
Si1 0.0000 0.5000 0.5000
Pd1 0.5000 0.5000 0.0000
# ΔE_f (raw) (meV per atom): -330.3
# DOS(E_F) (states/eV/cell): 2.61
# Total DFT energy (no corrections) (eV for the cell shown): -26.48



# 6
# V12Si3Pd | the Alexandria database | PBE-GGA | relaxed
data_V12Si3Pd
_chemical_formula_sum 'V12 Si3 Pd1'
_symmetry_space_group_name_H-M 'P m m m'
_symmetry_Int_Tables_number 47
_symmetry_space_group_name_Hall '-P 2 2'
_cell_length_a 4.7285
_cell_length_b 4.7399
_cell_length_c 9.4592
_cell_angle_alpha 90.00
_cell_angle_beta 90.00
_cell_angle_gamma 90.00
loop_
_atom_site_label
_atom_site_fract_x
_atom_site_fract_y
_atom_site_fract_z
V1 0.0000 0.0000 0.1226
V2 0.0000 0.0000 0.3702
V3 0.2540 0.5000 0.2551
V4 0.5000 0.2468 0.0000
V5 0.5000 0.2486 0.5000
Si1 0.0000 0.5000 0.5000
Si2 0.5000 0.0000 0.2524
Pd1 0.0000 0.5000 0.0000
# ΔE_f (raw) (meV per atom): -377.1
# DOS(E_F) (states/eV/cell): 21.01
# Total DFT energy (no corrections) (eV for the cell shown): -136.92